1.
Li2LaAu: optimized geometry, PBE.

Summary:
DOS at the Fermi energy: 0.722 states/eV per atom
calculated total energy: -3.3467 eV/atom

a = 3.884 Å, b = 4.184 Å, c = 6.405 Å
α = 90.00°, β = 106.93°, γ = 90.00°
Fractional coordinates of all 4 atoms:
Li (0.000, 0.000, 0.000)
Li (0.452, 0.500, 0.911)
La (0.718, 0.000, 0.459)
Au (0.125, 0.500, 0.264)

=====

2.
Li2La3Au2: optimized geometry, PBE.

Summary:
DOS at the Fermi energy: 0.989 states/eV per atom
calculated total energy: -4.0112 eV/atom

a = 10.241 Å, b = 10.241 Å, c = 10.241 Å
α = 158.08°, β = 153.10°, γ = 34.96°
Fractional coordinates of all 7 atoms:
Li (0.067, 0.067, 0.000)
Li (0.933, 0.933, 0.000)
La (0.193, 0.693, 0.500)
La (0.500, 0.500, 0.000)
La (0.807, 0.307, 0.500)
Au (0.367, 0.867, 0.500)
Au (0.633, 0.133, 0.500)

=====

3.
Li2LaAu: optimized geometry, PBE.

Summary:
DOS at the Fermi energy: 0.626 states/eV per atom
calculated total energy: -3.1109 eV/atom

a = 8.802 Å, b = 8.802 Å, c = 8.802 Å
α = 23.59°, β = 23.59°, γ = 23.59°
Fractional coordinates of all 4 atoms:
Li (0.226, 0.226, 0.226)
Li (0.774, 0.774, 0.774)
La (0.000, 0.000, 0.000)
Au (0.500, 0.500, 0.500)

=====

4.
Li6LaAu12: optimized geometry, PBE.

Summary:
DOS at the Fermi energy: 0.273 states/eV per atom
calculated total energy: -3.3259 eV/atom

a = 7.434 Å, b = 7.434 Å, c = 7.434 Å
α = 106.17°, β = 106.17°, γ = 106.17°
Fractional coordinates of all 19 atoms:
Li (0.281, 0.281, 0.702)
Li (0.281, 0.702, 0.281)
Li (0.298, 0.719, 0.719)
Li (0.702, 0.281, 0.281)
Li (0.719, 0.298, 0.719)
Li (0.719, 0.719, 0.298)
La (0.000, 0.000, 0.000)
Au (0.120, 0.500, 0.880)
Au (0.120, 0.880, 0.500)
Au (0.131, 0.379, 0.379)
Au (0.379, 0.131, 0.379)
Au (0.379, 0.379, 0.131)
Au (0.500, 0.120, 0.880)
Au (0.500, 0.880, 0.120)
Au (0.621, 0.621, 0.869)
Au (0.621, 0.869, 0.621)
Au (0.869, 0.621, 0.621)
Au (0.880, 0.120, 0.500)
Au (0.880, 0.500, 0.120)

=====

5.
LiLa2Au: optimized geometry, PBE.

Summary:
DOS at the Fermi energy: 1.275 states/eV per atom
calculated total energy: -3.9491 eV/atom

a = 9.478 Å, b = 9.478 Å, c = 9.478 Å
α = 24.85°, β = 24.85°, γ = 24.85°
Fractional coordinates of all 4 atoms:
Li (0.000, 0.000, 0.000)
La (0.571, 0.571, 0.571)
La (0.764, 0.764, 0.764)
Au (0.167, 0.167, 0.167)

=====

6.
Li5La2Au4: optimized geometry, PBE.

Summary:
DOS at the Fermi energy: 0.461 states/eV per atom
calculated total energy: -3.4902 eV/atom

a = 9.892 Å, b = 9.121 Å, c = 5.482 Å
α = 81.15°, β = 65.65°, γ = 33.20°
Fractional coordinates of all 11 atoms:
Li (0.000, 0.000, 0.000)
Li (0.000, 0.000, 0.500)
Li (0.250, 0.250, 0.250)
Li (0.500, 0.500, 0.000)
Li (0.750, 0.750, 0.750)
La (0.359, 0.359, 0.641)
La (0.641, 0.641, 0.359)
Au (0.032, 0.709, 0.291)
Au (0.291, 0.968, 0.032)
Au (0.709, 0.032, 0.968)
Au (0.968, 0.291, 0.709)

=====

Question: DOS at the Fermi energy of number 3 (Li2LaAu)?
Answer: 0.626 states/eV per atom

=====

What did the second record say?
Li2La3Au2: optimized geometry, PBE.

Summary:
DOS at the Fermi energy: 0.989 states/eV per atom
calculated total energy: -4.0112 eV/atom

a = 10.241 Å, b = 10.241 Å, c = 10.241 Å
α = 158.08°, β = 153.10°, γ = 34.96°
Fractional coordinates of all 7 atoms:
Li (0.067, 0.067, 0.000)
Li (0.933, 0.933, 0.000)
La (0.193, 0.693, 0.500)
La (0.500, 0.500, 0.000)
La (0.807, 0.307, 0.500)
Au (0.367, 0.867, 0.500)
Au (0.633, 0.133, 0.500)

=====

Question: Which value of DOS at the Fermi energy does entry 4 give?
Answer: 0.273 states/eV per atom

=====

What did the third record say?
Li2LaAu: optimized geometry, PBE.

Summary:
DOS at the Fermi energy: 0.626 states/eV per atom
calculated total energy: -3.1109 eV/atom

a = 8.802 Å, b = 8.802 Å, c = 8.802 Å
α = 23.59°, β = 23.59°, γ = 23.59°
Fractional coordinates of all 4 atoms:
Li (0.226, 0.226, 0.226)
Li (0.774, 0.774, 0.774)
La (0.000, 0.000, 0.000)
Au (0.500, 0.500, 0.500)